# 1
BaCrCd | the Alexandria database | SCAN | PBEsol geometry; total DFT energy (no corrections) = -29.352 eV per atom; D(E_F) = 1.90 states/eV per cell
1.0
-2.697 -2.225 -2.623
0.635 -4.047 2.781
-3.647 3.180 1.052
Cr Ba Cd
1 1 1
Direct
0.500 0.667 0.333 Cr
0.000 0.000 0.000 Ba
0.500 0.333 0.667 Cd


# 2
CsBaCdNi2 | the Alexandria database | SCAN | PBEsol geometry; total DFT energy (no corrections) = -27.187 eV per atom; D(E_F) = 4.60 states/eV per cell
1.0
5.017 0.000 0.000
0.000 5.017 0.000
0.000 0.000 5.780
Ni Cd Ba Cs
2 1 1 1
Direct
0.000 0.500 0.000 Ni
0.500 0.000 0.000 Ni
0.000 0.000 0.000 Cd
0.500 0.500 0.500 Ba
0.000 0.000 0.500 Cs